The following is a DFT calculation (PBE) of a geometry-optimized Ho2InRh4 structure.

The structure in extended XYZ format:
```
7
Lattice="2.290 1.322 7.530 -2.290 1.322 7.530 0.000 -2.644 7.530" Properties=species:S:1:pos:R:3 pbc="T T T"
Ho 0.000 0.000 5.500
Ho 0.000 0.000 17.089
In 0.000 0.000 0.000
Rh 0.000 0.000 2.770
Rh 0.000 0.000 8.424
Rh 0.000 0.000 14.166
Rh 0.000 0.000 19.819
```

Properties
total moment = 0.00 Bohr magnetons per cell
V = 137 Å³ per cell
energy of formation = -0.446 eV per atom

The following is a DFT calculation (PBE) of a geometry-optimized Ho7InRh2 structure.

The structure in extended XYZ format:
```
10
Lattice="4.431 -6.797 0.000 4.431 6.797 0.000 0.000 0.000 5.170" Properties=species:S:1:pos:R:3 pbc="T T T"
Ho 0.000 0.000 0.000
Ho 2.791 1.748 0.000
Ho 4.431 3.879 2.585
Ho 2.791 -1.748 0.000
Ho 6.071 1.748 0.000
Ho 4.431 -3.879 2.585
Ho 6.071 -1.748 0.000
In 4.431 0.000 2.585
Rh 4.431 4.033 0.000
Rh 4.431 -4.033 0.000
```

Properties
total moment = 0.00 Bohr magnetons per cell
V = 311 Å³ per cell
energy of formation = -0.263 eV per atom

The following is a DFT calculation (PBE) of a geometry-optimized Ho11In9Rh4 structure.

The structure in extended XYZ format:
```
24
Lattice="7.260 -10.868 0.000 7.260 10.868 0.000 0.000 0.000 3.672" Properties=species:S:1:pos:R:3 pbc="T T T"
Ho 0.000 0.000 0.000
Ho 3.591 3.671 0.000
Ho 7.260 7.360 0.000
Ho 4.526 0.000 0.000
Ho 7.260 2.736 0.000
Ho 3.591 -3.671 0.000
Ho 10.928 3.671 0.000
Ho 7.260 -2.736 0.000
Ho 9.993 0.000 0.000
Ho 7.260 -7.360 0.000
Ho 10.928 -3.671 0.000
In 2.117 1.552 1.836
In 5.730 5.163 1.836
In 2.117 -1.552 1.836
In 8.790 5.163 1.836
In 7.260 0.000 1.836
In 5.730 -5.163 1.836
In 12.402 1.552 1.836
In 8.790 -5.163 1.836
In 12.402 -1.552 1.836
Rh 5.052 2.197 1.836
Rh 5.052 -2.197 1.836
Rh 9.467 2.197 1.836
Rh 9.467 -2.197 1.836
```

Properties
total moment = 0.00 Bohr magnetons per cell
V = 579 Å³ per cell
energy of formation = -0.676 eV per atom

Number 1: DOS at the Fermi energy 4.74 states/eV/cell. Number 2: DOS at the Fermi energy 8.96 states/eV/cell. Number 3: DOS at the Fermi energy 12.30 states/eV/cell.